Entry from Alexandria via LeMat-Bulk: an optimized crystal structure of BeCrPO2 (PBE with a Hubbard U).

Structure (CIF):
```
data_BeCrPO2
_cell_length_a 3.3293
_cell_length_b 3.3293
_cell_length_c 5.4972
_cell_angle_alpha 90.00
_cell_angle_beta 90.00
_cell_angle_gamma 90.00
_space_group_name_H-M_alt 'P 1'
_space_group_IT_number 1
loop_
_space_group_symop_operation_xyz
'x,y,z'
loop_
_atom_site_label
_atom_site_type_symbol
_atom_site_fract_x
_atom_site_fract_y
_atom_site_fract_z
Be1 Be 0.0000 0.0000 0.0000
Cr1 Cr 0.5000 0.5000 0.5000
P1 P 0.0000 0.0000 0.5000
O1 O 0.0000 0.5000 0.0000
O2 O 0.5000 0.0000 0.0000
```

Relative energy among the computed polymorphs: 0.000 eV per formula unit
M_tot: 1.688 μB per formula unit
Space-group type: No. 123